(1)
Material: AcLaY2Se4
Method: DFT, PBE-GGA
State: relaxed

Output
* crystal system: monoclinic
* E_form (uncorrected): -1845.9 meV/atom

The structure in CIF format:
```
data_AcLaY2Se4
_space_group_name_H-M_alt 'P 1 2/m 1'
_space_group_IT_number 10
_space_group_name_Hall '-P 2y'
_cell_length_a 7.228
_cell_length_b 4.150
_cell_length_c 7.563
_cell_angle_alpha 90.00
_cell_angle_beta 108.44
_cell_angle_gamma 90.00
loop_
_atom_site_label
_atom_site_type_symbol
_atom_site_fract_x
_atom_site_fract_y
_atom_site_fract_z
Ac1 Ac 0.000 0.000 0.000
La1 La 0.500 0.500 0.000
Y1 Y 0.000 0.500 0.500
Y2 Y 0.500 0.000 0.500
Se1 Se 0.246 0.000 0.728
Se2 Se 0.262 0.500 0.276
```

=====

(2)
Material: Ac6CeSn4
Method: DFT, PBE-GGA
State: relaxed

Output
* crystal system: tetragonal
* formation energy: -0.3016 eV per atom

The structure in CIF format:
```
data_Ac6CeSn4
_space_group_name_H-M_alt 'I -4 2 m'
_space_group_IT_number 121
_space_group_name_Hall 'I -4 2'
_cell_length_a 8.558
_cell_length_b 8.558
_cell_length_c 12.721
_cell_angle_alpha 90.00
_cell_angle_beta 90.00
_cell_angle_gamma 90.00
loop_
_atom_site_label
_atom_site_type_symbol
_atom_site_fract_x
_atom_site_fract_y
_atom_site_fract_z
Ac1 Ac 0.000 0.500 0.000
Ac2 Ac 0.158 0.158 0.331
Ce1 Ce 0.000 0.000 0.000
Sn1 Sn 0.228 0.228 0.595
```

=====

(3)
Material: Sr2Pd2I
Method: DFT, PBE-GGA
State: relaxed

Output
* crystal system: tetragonal
* E_form (uncorrected): -704.4 meV/atom
* E above lowest polymorph: 0 meV/atom

The structure in CIF format:
```
data_Sr2Pd2I
_space_group_name_H-M_alt 'P 4/m b m'
_space_group_IT_number 127
_space_group_name_Hall '-P 4 2ab'
_cell_length_a 8.304
_cell_length_b 8.304
_cell_length_c 4.041
_cell_angle_alpha 90.00
_cell_angle_beta 90.00
_cell_angle_gamma 90.00
loop_
_atom_site_label
_atom_site_type_symbol
_atom_site_fract_x
_atom_site_fract_y
_atom_site_fract_z
Sr1 Sr 0.176 0.324 0.000
Pd1 Pd 0.115 0.615 0.500
I1 I 0.000 0.000 0.500
```

=====

(4)
Material: PrAlGa2Pd5
Method: DFT, PBE-GGA
State: relaxed

Output
* crystal system: tetragonal
* formation energy: -0.4877 eV per atom

The structure in CIF format:
```
data_PrAlGa2Pd5
_space_group_name_H-M_alt 'P 4/m m m'
_space_group_IT_number 123
_space_group_name_Hall '-P 4 2'
_cell_length_a 4.754
_cell_length_b 4.754
_cell_length_c 7.348
_cell_angle_alpha 90.00
_cell_angle_beta 90.00
_cell_angle_gamma 90.00
loop_
_atom_site_label
_atom_site_type_symbol
_atom_site_fract_x
_atom_site_fract_y
_atom_site_fract_z
Pr1 Pr 0.000 0.000 0.000
Al1 Al 0.000 0.000 0.500
Ga1 Ga 0.500 0.500 0.334
Pd1 Pd 0.000 0.500 0.293
Pd2 Pd 0.500 0.500 0.000
```

=====

(5)
Material: TlCdFe2
Method: DFT, PBE-GGA
State: relaxed

Output
* crystal system: monoclinic
* formation energy: 0.5110 eV per atom

The structure in CIF format:
```
data_TlCdFe2
_space_group_name_H-M_alt 'C 1 2/m 1'
_space_group_IT_number 12
_space_group_name_Hall '-C 2y'
_cell_length_a 9.641
_cell_length_b 2.953
_cell_length_c 6.219
_cell_angle_alpha 90.00
_cell_angle_beta 113.94
_cell_angle_gamma 90.00
loop_
_atom_site_label
_atom_site_type_symbol
_atom_site_fract_x
_atom_site_fract_y
_atom_site_fract_z
Tl1 Tl 0.000 0.000 0.000
Cd1 Cd 0.000 0.500 0.500
Fe1 Fe 0.232 0.500 0.344
```

=====

(6)
Material: FeIrI2
Method: DFT, PBE-GGA
State: relaxed

Output
* crystal system: cubic
* E_form (uncorrected): 1151.6 meV/atom
* E above lowest polymorph: 257 meV/atom

The structure in CIF format:
```
data_FeIrI2
_space_group_name_H-M_alt 'F m -3 m'
_space_group_IT_number 225
_space_group_name_Hall '-F 4 2 3'
_cell_length_a 6.904
_cell_length_b 6.904
_cell_length_c 6.904
_cell_angle_alpha 90.00
_cell_angle_beta 90.00
_cell_angle_gamma 90.00
loop_
_atom_site_label
_atom_site_type_symbol
_atom_site_fract_x
_atom_site_fract_y
_atom_site_fract_z
Fe1 Fe 0.000 0.000 0.000
Ir1 Ir 0.000 0.000 0.500
I1 I 0.250 0.250 0.250
```

=====

no.,total moment (μB/cell)
1,0.0
2,3.9
3,0.0
4,0.0
5,10.0
6,11.0